1.
The following is a PBE-GGA calculation of an optimized crystal structure of RbMg2, from Alexandria.

Computed properties:
crystal system: monoclinic
formation enthalpy at 0 K: 0.28 eV per atom

a b c (Å): 10.206 5.900 3.690
angles (deg): 90.00 90.05 90.00
Space group C2/m (No. 12)
Asymmetric unit:
Rb 0.000 0.000 0.000
Mg 0.166 0.500 0.500

2.
The following is a PBE-GGA calculation of an optimized crystal structure of RbMg2, from Alexandria.

Computed properties:
crystal system: tetragonal
formation enthalpy at 0 K: 0.20 eV per atom

a b c (Å): 5.975 5.975 13.746
angles (deg): 90.00 90.00 90.00
Space group I4/mcm (No. 140)
Asymmetric unit:
Rb 0.000 0.000 0.250
Mg 0.178 0.322 0.000

Looking at raw total energy for the records above, in order, we have -6.610; -14.243 eV/cell.